Computed, not measured: a relaxed structure of NaTl3Pd4 at the PBE level of DFT.

The structure belongs to space group Imm2 (No. 44); the cell edges are 5.8481, 11.7838 and 5.0103 Å and the angles 90.00°, 90.00° and 90.00°. The inequivalent atoms are Na at (0.0000, 0.0000, 0.0000), Tl at (0.0000, 0.2000, 0.4984), Tl at (0.0000, 0.5000, 0.5005), Pd at (0.0000, 0.2978, 0.9984) and Pd at (0.2409, 0.5000, 0.0004).

The crystal system is orthorhombic. The spin magnetization is 0.0 Bohr magnetons per cell. The formation enthalpy at 0 K is -7.9 kJ per mole of atoms. For the relative energy among the computed polymorphs, the calculation gives 62 meV per atom.